Entry from the Alexandria database: an optimized crystal structure of Ac6SbSe3S2 (PBE-GGA).

Geometry as POSCAR:
```
Ac6SbSe3S2
1.0
-3.357 -6.850 1.291
1.620 2.214 -7.234
7.192 -1.594 2.504
Ac Sb Se S
6 1 3 2
Cartesian
3.267 -6.228 -1.049 Ac
0.475 -3.784 -3.746 Ac
2.188 -0.002 -2.390 Ac
4.999 -3.074 -4.016 Ac
4.981 -2.447 0.306 Ac
0.457 -3.156 0.576 Ac
0.000 0.000 0.000 Sb
4.419 -0.034 -4.617 Se
1.036 -6.196 1.178 Se
2.728 -3.115 -1.720 Se
-0.034 -0.799 -4.401 S
-1.702 -3.838 -1.542 S
```

## Properties
Space-group type: C2/m (12)
Total energy in eV for the cell shown: -68.97
Volume in Å³/atom: 31.7